No. 1
LaBrCl2: optimized geometry, PBE-GGA.

electronic total energy	-19.10	eV per formula unit
ΔE to the lowest computed polymorph	0.21	eV/f.u.
space group	Cmmm, No. 65
total moment	0.0	Bohr magnetons per cell

Unit cell a=4.2986 b=7.2885 c=7.2856 alpha=47.87 beta=90.00 gamma=90.00
Atoms (fractional coordinates):
La1 0.5000 0.2500 0.2500
Cl1 0.0000 0.3851 0.3850
Cl2 0.0000 0.1149 0.1150
Br1 0.5000 0.7500 0.7500

=====

No. 2
La4Br5Cl2: optimized geometry, PBE-GGA.

electronic total energy	-50.17	eV per formula unit
space group	C2/m, No. 12
total moment	0.3	Bohr magnetons per cell

Unit cell a=3.9240 b=11.4618 c=9.6815 alpha=98.23 beta=101.69 gamma=90.00
Atoms (fractional coordinates):
Br1 0.8166 0.6921 0.6332
Cl1 0.5314 0.3858 0.0627
Cl2 0.4686 0.6142 0.9373
Br2 0.5000 0.0000 0.0000
Br3 0.1834 0.3079 0.3668
La1 0.9761 0.7929 0.9522
La2 0.3292 0.4732 0.6585
Br4 0.8714 0.2749 0.7428
La3 0.0239 0.2071 0.0478
La4 0.6708 0.5268 0.3415
Br5 0.1286 0.7251 0.2572

=====

No. 3
La4Br5Cl: optimized geometry, PBE-GGA.

electronic total energy	-46.48	eV per formula unit
space group	C2/m, No. 12
total moment	0.0	Bohr magnetons per cell

Unit cell a=4.0276 b=8.8068 c=9.5872 alpha=104.67 beta=102.13 gamma=90.00
Atoms (fractional coordinates):
Br1 0.1739 0.8144 0.3478
La1 0.6551 0.0722 0.3102
La2 0.0042 0.7738 0.0084
Br2 0.5000 0.5000 0.0000
Br3 0.8375 0.6614 0.6750
Cl1 0.5000 0.0000 0.0000
Br4 0.8261 0.1856 0.6522
La3 0.9958 0.2262 0.9916
Br5 0.1625 0.3386 0.3250
La4 0.3449 0.9278 0.6898

=====

No. 4
LaBrCl2: optimized geometry, PBE-GGA.

electronic total energy	-17.41	eV per formula unit
ΔE to the lowest computed polymorph	1.90	eV/f.u.
space group	P4mm, No. 99
total moment	0.0	Bohr magnetons per cell

Unit cell a=4.0170 b=4.0170 c=7.5324 alpha=90.00 beta=90.00 gamma=90.00
Atoms (fractional coordinates):
Cl1 0.5000 0.5000 0.2839
La1 0.0000 0.0000 0.4314
Br1 0.5000 0.5000 0.6934
Cl2 0.0000 0.0000 0.0913

=====

No. 5
LaBr2Cl: optimized geometry, PBE-GGA.

electronic total energy	-18.47	eV per formula unit
ΔE to the lowest computed polymorph	0.17	eV/f.u.
space group	P2/m, No. 10
total moment	0.0	Bohr magnetons per cell

Unit cell a=4.4469 b=7.8188 c=7.8316 alpha=41.85 beta=90.00 gamma=90.00
Atoms (fractional coordinates):
Br1 0.0000 0.6162 0.6158
Br2 0.0000 0.8838 0.8842
Cl1 0.5000 0.2500 0.2500
La1 0.5000 0.7500 0.7500

=====

No. 6
La4Br3Cl4: optimized geometry, PBE-GGA.

electronic total energy	-51.79	eV per formula unit
space group	Immm, No. 71
total moment	0.3	Bohr magnetons per cell

Unit cell a=3.7828 b=8.9936 c=10.0815 alpha=116.49 beta=100.81 gamma=90.00
Atoms (fractional coordinates):
Cl1 0.3312 0.1408 0.6623
Br1 0.9038 0.9038 0.8075
La1 0.2616 0.7616 0.5233
Br2 0.0000 0.5000 0.0000
La2 0.5000 0.2211 0.0000
Cl2 0.6688 0.8592 0.3377
La3 0.7384 0.2384 0.4767
Br3 0.0962 0.0962 0.1925
Cl3 0.3312 0.5215 0.6623
Cl4 0.6688 0.4785 0.3377
La4 0.5000 0.7789 0.0000

=====

No. 7
La2BrCl2: optimized geometry, PBE-GGA.

electronic total energy	-23.33	eV per formula unit
ΔE to the lowest computed polymorph	0.87	eV/f.u.
space group	P4/mbm, No. 127
total moment	0.0	Bohr magnetons per cell

Unit cell a=8.3814 b=8.3814 c=3.7004 alpha=90.00 beta=90.00 gamma=90.00
Atoms (fractional coordinates):
La1 0.1633 0.3367 0.0000
Cl1 0.3661 0.1339 0.5000
Cl2 0.8661 0.3661 0.5000
Br1 0.0000 0.0000 0.0000
Cl3 0.6339 0.8661 0.5000
Br2 0.5000 0.5000 0.0000
Cl4 0.1339 0.6339 0.5000
La2 0.3367 0.8367 0.0000
La3 0.8367 0.6633 0.0000
La4 0.6633 0.1633 0.0000

=====

No. 8
LaBr2Cl: optimized geometry, PBE-GGA.

electronic total energy	-18.42	eV per formula unit
ΔE to the lowest computed polymorph	0.22	eV/f.u.
space group	Pm, No. 6
total moment	0.0	Bohr magnetons per cell

Unit cell a=4.3841 b=7.5319 c=7.5303 alpha=46.04 beta=90.00 gamma=90.00
Atoms (fractional coordinates):
Cl1 0.0000 0.6197 0.6207
Br1 0.0000 0.8902 0.8910
Br2 0.5000 0.2435 0.2427
La1 0.5000 0.7466 0.7456

=====

No. 9
LaBrCl2: optimized geometry, PBE-GGA.

electronic total energy	-12.95	eV per formula unit
ΔE to the lowest computed polymorph	6.36	eV/f.u.
space group	R-3m, No. 166
total moment	1.6	Bohr magnetons per cell

Unit cell a=12.5173 b=12.5173 c=12.5173 alpha=19.77 beta=19.77 gamma=19.77
Atoms (fractional coordinates):
Cl1 0.9310 0.9310 0.9310
La1 0.0000 0.0000 0.0000
Br1 0.5000 0.5000 0.5000
Cl2 0.0690 0.0690 0.0690

=====

No. 10
LaBrCl2: optimized geometry, PBE-GGA.

electronic total energy	-18.03	eV per formula unit
ΔE to the lowest computed polymorph	1.28	eV/f.u.
space group	R-3m, No. 166
total moment	0.0	Bohr magnetons per cell

Unit cell a=6.2765 b=6.2765 c=6.2765 alpha=45.14 beta=45.14 gamma=45.14
Atoms (fractional coordinates):
Br1 0.0000 0.0000 0.0000
Cl1 0.7840 0.7840 0.7840
Cl2 0.2160 0.2160 0.2160
La1 0.5000 0.5000 0.5000

=====

No. 11
La2Br4Cl: optimized geometry, PBE-GGA.

electronic total energy	-31.38	eV per formula unit
ΔE to the lowest computed polymorph	0.00	eV/f.u.
space group	R-3m, No. 166
total moment	1.2	Bohr magnetons per cell

Unit cell a=5.2218 b=5.2218 c=10.4738 alpha=75.57 beta=75.57 gamma=60.00
Atoms (fractional coordinates):
Cl1 0.5000 0.5000 0.5000
Br1 0.7003 0.7003 0.8990
Br2 0.9005 0.9005 0.2986
Br3 0.2997 0.2997 0.1010
Br4 0.0995 0.0995 0.7014
La1 0.4074 0.4074 0.7779
La2 0.5926 0.5926 0.2221

=====

No. 12
LaBrCl2: optimized geometry, PBE-GGA.

electronic total energy	-16.45	eV per formula unit
ΔE to the lowest computed polymorph	2.86	eV/f.u.
space group	Fmmm, No. 69
total moment	0.2	Bohr magnetons per cell

Unit cell a=5.9146 b=4.7359 c=4.7401 alpha=85.00 beta=68.54 gamma=111.43
Atoms (fractional coordinates):
La1 0.5000 0.5000 0.0000
Br1 0.5000 0.0000 0.5000
Cl1 0.0000 0.5000 0.5000
Cl2 0.0000 0.0000 0.0000

=====

Q: Which ΔE_f (raw) values were calculated for the entries above? A: -2.20; -1.67; -1.66; -1.78; -2.09; -1.79; -1.62; -2.08; -0.67; -1.93; -1.86; -1.54, in eV per atom.